Compound: BaPaPb2O6
Source: Alexandria
Functional: PBE
Structure: relaxed

Output
The total magnetic moment is 0.0000 μB/atom. The calculation puts the uncorrected formation energy at -2.219 eV/atom. The value obtained for the density of states at the Fermi level is 0.582 states/eV per atom.

Lattice parameters (Å, degrees): 6.1659 6.1657 6.7128 62.66 62.65 59.99
Sites, in units of the cell vectors:
Ba (0.8019, 0.8019, 0.5942)
Pa (0.3220, 0.3220, 0.0340)
Pb (0.5353, 0.5354, 0.3941)
Pb (0.0143, 0.0142, 0.9572)
O (0.5820, 0.2351, 0.2260)
O (0.2351, 0.9568, 0.2262)
O (0.9567, 0.5823, 0.2260)
O (0.3700, 0.6970, 0.7857)
O (0.6971, 0.1471, 0.7859)
O (0.1472, 0.3699, 0.7858)